Entry 1:
DFT (PBE) results for a relaxed Nd4Dy4Sc crystal.

Structure (POSCAR):
```
Nd4Dy4Sc
1.0
-5.369 5.369 2.515
5.369 -5.369 2.515
5.369 5.369 -2.515
Nd Dy Sc
4 4 1
Direct
0.164 0.164 0.328
0.164 0.836 0.000
0.836 0.164 0.000
0.836 0.836 0.672
0.167 0.500 0.667
0.500 0.167 0.667
0.500 0.833 0.333
0.833 0.500 0.333
0.500 0.500 0.000
```

space group = I4/mmm (139)
energy above the lowest structure with this stoichiometry = 0.0000 eV/atom
E = -4.8385 eV per atom


Entry 2:
DFT (PBE) results for a relaxed PmPuP2 crystal.

Structure (POSCAR):
```
PmPuP2
1.0
2.014 1.163 6.850
-2.014 1.163 6.850
0.000 -2.326 6.850
Pm Pu P
1 1 2
Direct
0.000 0.000 0.000
0.172 0.172 0.172
0.581 0.581 0.581
0.758 0.758 0.758
```

space group = R3m (160)
energy above the lowest structure with this stoichiometry = 0.1570 eV/atom
E = -8.6742 eV per atom


Entry 3:
DFT (PBE) results for a relaxed PmGa2CuPd2 crystal.

Structure (POSCAR):
```
PmGa2CuPd2
1.0
-2.390 2.390 5.551
2.390 -2.390 5.551
2.390 2.390 -5.551
Pm Ga Cu Pd
1 2 1 2
Direct
0.000 0.000 0.000
0.294 0.294 0.000
0.706 0.706 0.000
0.500 0.500 0.000
0.250 0.750 0.500
0.750 0.250 0.500
```

space group = I4/mmm (139)
E = -4.4738 eV per atom


Entry 4:
DFT (PBE) results for a relaxed PuUVOs crystal.

Structure (POSCAR):
```
PuUVOs
1.0
0.000 3.248 3.248
3.248 0.000 3.248
3.248 3.248 0.000
Pu U V Os
1 1 1 1
Direct
0.000 0.000 0.000
0.750 0.750 0.750
0.500 0.500 0.500
0.250 0.250 0.250
```

space group = F-43m (216)
E = -11.4669 eV per atom


| no. | DFT formation energy (eV/atom) | total magnetic moment (μB/f.u.) |
| --- | --- | --- |
| 1 | 0.029 | 0.00 |
| 2 | -1.199 | 4.97 |
| 3 | -0.259 | 0.00 |
| 4 | 0.025 | 3.61 |